1.
Below is a relaxed structure of La4SbPbO, with properties calculated at the PBE-GGA level.

## Properties
space group	Cmcm (63)
crystal system	orthorhombic
raw formation energy	-1387	meV/atom

Cell lengths 6.716, 6.757, 9.796 Å; angles 90.00, 110.05, 90.00 degrees
Each line ends with the local moment (μB).
Sites, in units of the cell vectors:
O 0.794 0.250 0.588  0.01
O 0.206 0.750 0.412  0.01
La 0.000 0.500 0.500  0.12
La 0.568 0.250 0.136  0.23
La 0.922 0.250 0.844  0.09
La 0.500 0.000 0.500  0.12
La 0.000 0.000 0.500  0.12
La 0.432 0.750 0.864  0.23
La 0.078 0.750 0.156  0.09
La 0.500 0.500 0.500  0.12
Pb 0.890 0.750 0.781  -0.02
Pb 0.110 0.250 0.219  -0.02
Sb 0.614 0.750 0.227  -0.02
Sb 0.386 0.250 0.773  -0.02

***

2.
Below is a relaxed structure of CsInHgBi2, with properties calculated at the PBE-GGA level.

## Properties
DFT formation energy	-0.19	eV per atom
space group	I-4m2 (119)
crystal system	tetragonal

Cell lengths 5.330, 5.330, 7.644 Å; angles 110.40, 110.40, 90.00 degrees
Sites, in units of the cell vectors:
Bi 0.627 0.627 0.254
Bi 0.373 0.373 0.746
In 0.250 0.750 0.500
Cs 0.000 0.000 0.000
Hg 0.750 0.250 0.500

***

3.
Below is a relaxed structure of Cs2BaTeI6, with properties calculated at the PBE-GGA level.

## Properties
space group	I4/mmm (139)
crystal system	tetragonal
raw formation energy	-1012	meV/atom

Cell lengths 9.636, 9.636, 9.291 Å; angles 58.76, 58.76, 90.00 degrees
Each line ends with the local moment (μB).
Sites, in units of the cell vectors:
Cs 0.750 0.250 0.500  0.00
Cs 0.250 0.750 0.500  0.00
I 0.270 0.270 0.460  0.01
I 0.753 0.753 0.000  0.11
I 0.730 0.730 0.540  0.01
I 0.753 0.247 0.000  0.11
I 0.247 0.753 0.000  0.11
I 0.247 0.247 0.000  0.11
Ba 0.000 0.000 0.000  0.05
Te 0.500 0.500 0.000  0.71